This record from the Alexandria database describes a crystal of RbAsN2 relaxed with PBEsol. The functional is meta-GGA SCAN.

Results
Raw formation energy = 0.700 eV per atom
Space group = R-3m, No. 166

Lattice parameters (Å, degrees): 3.0481 3.0481 7.4880 78.26 78.26 60.00
Fractional coordinates of all 4 atoms:
N: 0.1202 0.1202 0.6393
As: 0.5000 0.5000 0.5000
N: 0.8798 0.8798 0.3607
Rb: 0.0000 0.0000 0.0000